Entry 1:
## Y2WBr (PBE)

Data for Y2WBr after structural relaxation.

Unit cell a=3.3749 b=3.3749 c=32.2626 alpha=90.00 beta=90.00 gamma=120.00
Positions (direct):
Y1 0.0000 0.0000 0.0000
Y2 0.0000 0.0000 0.2356
Y3 0.3333 0.6667 0.6667
Y4 0.3333 0.6667 0.9022
Y5 0.6667 0.3333 0.3333
Y6 0.6667 0.3333 0.5689
W1 0.0000 0.0000 0.4996
W2 0.3333 0.6667 0.1663
W3 0.6667 0.3333 0.8329
Br1 0.0000 0.0000 0.7314
Br2 0.3333 0.6667 0.3981
Br3 0.6667 0.3333 0.0647

Results
Crystal system: trigonal
Distance to the lowest polymorph of the same formula (meV/atom): 608
Uncorrected formation energy (eV/atom): 0.42

***

Entry 2:
## CrCdFe2 (PBE)

Data for CrCdFe2 after structural relaxation.

Unit cell a=2.8521 b=2.8624 c=6.6032 alpha=90.00 beta=90.00 gamma=90.00
Positions (direct):
Cr1 0.0000 0.0000 0.0000
Cd1 0.0000 0.0000 0.5000
Fe1 0.5000 0.5000 0.1982
Fe2 0.5000 0.5000 0.8018

Results
Crystal system: orthorhombic
Formation enthalpy at 0 K (meV/atom): 298

***

Entry 3:
## GeC3O (PBE)

Data for GeC3O after structural relaxation.

Unit cell a=3.9384 b=3.9384 c=3.9384 alpha=90.00 beta=90.00 gamma=90.00
Positions (direct):
Ge1 0.0000 0.0000 0.0000
C1 0.0000 0.0000 0.5000
C2 0.0000 0.5000 0.0000
C3 0.5000 0.0000 0.0000
O1 0.5000 0.5000 0.5000

Results
Crystal system: cubic
Distance to the lowest polymorph of the same formula (meV/atom): 219
Uncorrected formation energy (eV/atom): 3.20

***

Entry 4:
## Ac2TmCd4 (PBE)

Data for Ac2TmCd4 after structural relaxation.

Unit cell a=5.5332 b=5.5332 c=14.6986 alpha=90.00 beta=90.00 gamma=90.00
Positions (direct):
Ac1 0.0000 0.0000 0.2381
Ac2 0.0000 0.0000 0.7619
Ac3 0.5000 0.5000 0.2619
Ac4 0.5000 0.5000 0.7381
Tm1 0.0000 0.0000 0.5000
Tm2 0.5000 0.5000 0.0000
Cd1 0.0000 0.5000 0.1019
Cd2 0.0000 0.5000 0.3981
Cd3 0.0000 0.5000 0.6019
Cd4 0.0000 0.5000 0.8981
Cd5 0.5000 0.0000 0.1019
Cd6 0.5000 0.0000 0.3981
Cd7 0.5000 0.0000 0.6019
Cd8 0.5000 0.0000 0.8981

Results
Crystal system: tetragonal
Formation enthalpy at 0 K (meV/atom): -150

***

Entry 5:
## MgBi3N (PBE)

Data for MgBi3N after structural relaxation.

Unit cell a=5.4030 b=5.4030 c=5.4030 alpha=90.00 beta=90.00 gamma=90.00
Positions (direct):
Mg1 0.0000 0.0000 0.0000
Bi1 0.0000 0.0000 0.5000
Bi2 0.0000 0.5000 0.0000
Bi3 0.5000 0.0000 0.0000
N1 0.5000 0.5000 0.5000

Results
Crystal system: cubic
Distance to the lowest polymorph of the same formula (meV/atom): 1191
Uncorrected formation energy (eV/atom): 1.65

***

Entry 6:
## Mg2CoSnHg (PBE)

Data for Mg2CoSnHg after structural relaxation.

Unit cell a=4.9276 b=4.9276 c=4.7725 alpha=90.00 beta=90.00 gamma=90.00
Positions (direct):
Mg1 0.0000 0.5000 0.0000
Mg2 0.5000 0.0000 0.0000
Co1 0.0000 0.0000 0.0000
Sn1 0.0000 0.0000 0.5000
Hg1 0.5000 0.5000 0.5000

Results
Crystal system: tetragonal
Formation enthalpy at 0 K (meV/atom): 31

***

Entry 7:
## HfNiH3 (PBE)

Data for HfNiH3 after structural relaxation.

Unit cell a=3.3625 b=3.3625 c=3.3625 alpha=90.00 beta=90.00 gamma=90.00
Positions (direct):
Hf1 0.0000 0.0000 0.0000
Ni1 0.5000 0.5000 0.5000
H1 0.0000 0.5000 0.5000
H2 0.5000 0.0000 0.5000
H3 0.5000 0.5000 0.0000

Results
Crystal system: cubic
E (eV per atom): -5.374

***

Entry 8:
## ZrScAlRe (PBE)

Data for ZrScAlRe after structural relaxation.

Unit cell a=6.6477 b=6.6477 c=6.6477 alpha=90.00 beta=90.00 gamma=90.00
Positions (direct):
Zr1 0.0000 0.0000 0.0000
Zr2 0.0000 0.5000 0.5000
Zr3 0.5000 0.0000 0.5000
Zr4 0.5000 0.5000 0.0000
Sc1 0.0000 0.0000 0.5000
Sc2 0.0000 0.5000 0.0000
Sc3 0.5000 0.0000 0.0000
Sc4 0.5000 0.5000 0.5000
Al1 0.2500 0.2500 0.7500
Al2 0.2500 0.7500 0.2500
Al3 0.7500 0.2500 0.2500
Al4 0.7500 0.7500 0.7500
Re1 0.2500 0.2500 0.2500
Re2 0.2500 0.7500 0.7500
Re3 0.7500 0.2500 0.7500
Re4 0.7500 0.7500 0.2500

Results
Crystal system: cubic
Formation enthalpy at 0 K (meV/atom): -326

***

| no. | N(E_F) (states/eV/atom) | total magnetic moment (μB per cell) | calculated volume (Å³/f.u.) |
| --- | --- | --- | --- |
| 1 | 1.30 | 1.3 | 106.1 |
| 2 | 1.21 | 2.2 | 53.9 |
| 3 | 1.31 | 0.9 | 61.1 |
| 4 | 0.85 | 0.2 | 225.0 |
| 5 | 2.10 | 0.0 | 157.7 |
| 6 | 0.55 | 0.0 | 115.9 |
| 7 | 0.44 | 0.0 | 38.0 |
| 8 | 0.55 | 0.0 | 73.4 |